P:
DFT (PBEsol) results for a relaxed structure of Tc3Os.

```
data_Tc3Os
_chemical_formula_sum 'Tc3 Os1'
_symmetry_space_group_name_H-M 'P m -3 m'
_symmetry_Int_Tables_number 221
_symmetry_space_group_name_Hall '-P 4 2 3'
_cell_length_a 3.8265
_cell_length_b 3.8265
_cell_length_c 3.8265
_cell_angle_alpha 90.00
_cell_angle_beta 90.00
_cell_angle_gamma 90.00
loop_
_atom_site_label
_atom_site_fract_x
_atom_site_fract_y
_atom_site_fract_z
Tc1 0.0000 0.0000 0.5000
Os1 0.5000 0.5000 0.5000
```

Q:
DFT (PBEsol) results for a relaxed structure of Tc3Os.

```
data_Tc3Os
_chemical_formula_sum 'Tc6 Os2'
_symmetry_space_group_name_H-M 'I m m 2'
_symmetry_Int_Tables_number 44
_cell_length_a 2.7190
_cell_length_b 8.6738
_cell_length_c 4.7252
_cell_angle_alpha 90.00
_cell_angle_beta 90.00
_cell_angle_gamma 90.00
loop_
_symmetry_equiv_pos_as_xyz
'x,y,z'
'-x,-y,z'
'-x,y,z'
'x,-y,z'
'x+1/2,y+1/2,z+1/2'
'-x+1/2,-y+1/2,z+1/2'
'-x+1/2,y+1/2,z+1/2'
'x+1/2,-y+1/2,z+1/2'
loop_
_atom_site_label
_atom_site_fract_x
_atom_site_fract_y
_atom_site_fract_z
Tc1 0.0000 0.0000 0.0000
Tc2 0.0000 0.2490 0.6688
Os1 0.0000 0.5000 0.0005
```

According to the calculations, the structures order from most to least stable as Q, P.